The following is a DFT calculation (PBE-GGA) of an optimized crystal structure of Nb6PdN.

Values from the calculation:
ΔE_f (raw)   -0.28 eV per atom
Crystal system   triclinic
DFT total energy   -76.20 eV for the cell shown

Unit cell a=4.8600 b=5.3707 c=5.4773 alpha=97.69 beta=109.68 gamma=92.20
Space group P-1 (No. 2)
Symmetry-distinct sites (fractional):
Nb 0.0627 0.2943 0.1468
Nb 0.2071 0.8484 0.4401
Nb 0.4026 0.4033 0.7364
Pd 0.5000 0.0000 0.0000
N 0.0000 0.5000 0.5000